A relaxed structure of Rb4Cu, computed with PBE.

Cell lengths 7.0493, 7.0493, 7.0493 Å; angles 90.00, 90.00, 90.00 degrees
Last column: nearest neighbours and their distance in Å.
Sites, in units of the cell vectors:
1 Rb 0.5000 0.5000 0.0000  2 Cu 3.52
2 Rb 0.5000 0.0000 0.5000  2 Cu 3.52
3 Rb 0.0000 0.0000 0.0000  12 Rb 4.98
4 Rb 0.0000 0.5000 0.5000  2 Cu 3.52
5 Cu 0.5000 0.5000 0.5000  6 Rb 3.52

Calculated values
Energy of formation from the pure elements (eV/atom): 0.21
VASP energy (eV/atom): -1.382
Calculated volume (Å³ per atom): 70.060


A relaxed structure of RbCu, computed with PBE.

Cell lengths 13.1429, 13.1429, 3.9440 Å; angles 90.00, 90.00, 90.00 degrees
Last column: nearest neighbours and their distance in Å.
Sites, in units of the cell vectors:
1 Cu 0.0131 0.5877 0.5000  5 Cu 2.33-2.57
2 Cu 0.0877 0.4869 0.0000  5 Cu 2.33-2.57
3 Cu 0.4869 0.9123 0.0000  5 Cu 2.33-2.57
4 Cu 0.4123 0.0131 0.5000  5 Cu 2.33-2.57
5 Cu 0.5877 0.9869 0.5000  5 Cu 2.33-2.57
6 Cu 0.9123 0.5131 0.0000  5 Cu 2.33-2.57
7 Cu 0.5131 0.0877 0.0000  5 Cu 2.33-2.57
8 Cu 0.9869 0.4123 0.5000  5 Cu 2.33-2.57
9 Rb 0.2220 0.9120 0.0000  3 Cu 3.45-3.48
10 Rb 0.5880 0.7220 0.5000  3 Cu 3.45-3.48
11 Rb 0.7780 0.0880 0.0000  3 Cu 3.45-3.48
12 Rb 0.9120 0.7780 0.0000  3 Cu 3.45-3.48
13 Rb 0.0880 0.2220 0.0000  3 Cu 3.45-3.48
14 Rb 0.7220 0.4120 0.5000  3 Cu 3.45-3.48
15 Rb 0.4120 0.2780 0.5000  3 Cu 3.45-3.48
16 Rb 0.2780 0.5880 0.5000  3 Cu 3.45-3.48

Calculated values
Energy of formation from the pure elements (eV/atom): 0.39
VASP energy (eV/atom): -2.144
Calculated volume (Å³ per atom): 42.579


A relaxed structure of RbCu, computed with PBE.

Cell lengths 14.3524, 4.5548, 6.4450 Å; angles 90.00, 90.00, 90.00 degrees
Last column: nearest neighbours and their distance in Å.
Sites, in units of the cell vectors:
1 Cu 0.0000 0.0000 0.5634  4 Cu 2.56
2 Cu 0.5817 0.0000 0.0766  3 Cu 2.34-2.56
3 Cu 0.4183 0.0000 0.0766  3 Cu 2.34-2.56
4 Cu 0.9183 0.5000 0.5766  3 Cu 2.34-2.56
5 Cu 0.5000 0.5000 0.0634  4 Cu 2.56
6 Cu 0.0817 0.5000 0.5766  3 Cu 2.34-2.56
7 Rb 0.2632 0.0000 0.6128  4 Cu 3.47-3.79
8 Rb 0.5000 0.5000 0.5600  2 Cu 3.20-3.24
9 Rb 0.7368 0.0000 0.6128  4 Cu 3.47-3.79
10 Rb 0.2368 0.5000 0.1128  4 Cu 3.47-3.79
11 Rb 0.0000 0.0000 0.0600  2 Cu 3.20-3.24
12 Rb 0.7632 0.5000 0.1128  4 Cu 3.47-3.79

Calculated values
Energy of formation from the pure elements (eV/atom): 0.37
VASP energy (eV/atom): -2.166
Calculated volume (Å³ per atom): 35.111